## A
Here is a relaxed structure of YAgSnTe3 from the Open Quantum Materials Database. Energies are from PBE-GGA.

Lattice parameters (Å, degrees): 4.311 7.662 11.183 90.00 90.00 73.66
Element x y z (fractional)
Ag1 0.472 0.056 0.250
Ag2 0.528 0.944 0.750
Sn1 0.770 0.461 0.250
Sn2 0.230 0.539 0.750
Te1 0.352 0.296 0.056
Te2 0.097 0.806 0.250
Te3 0.352 0.296 0.444
Te4 0.648 0.704 0.556
Te5 0.903 0.194 0.750
Te6 0.648 0.704 0.944
Y1 0.000 0.000 0.000
Y2 0.000 0.000 0.500

Results
- Magnetic moment: 0.00 Bohr magnetons per cell

## B
Here is a relaxed structure of YAgSnTe3 from the Open Quantum Materials Database. Energies are from PBE-GGA.

Lattice parameters (Å, degrees): 9.112 4.520 18.099 90.00 90.00 90.00
Element x y z (fractional)
Ag1 0.122 0.750 0.138
Ag2 0.622 0.750 0.362
Ag3 0.378 0.250 0.638
Ag4 0.878 0.250 0.862
Sn1 0.408 0.250 0.249
Sn2 0.908 0.250 0.251
Sn3 0.092 0.750 0.749
Sn4 0.592 0.750 0.751
Te1 0.386 0.750 0.061
Te2 0.965 0.250 0.085
Te3 0.692 0.750 0.211
Te4 0.192 0.750 0.289
Te5 0.465 0.250 0.415
Te6 0.886 0.750 0.439
Te7 0.114 0.250 0.561
Te8 0.535 0.750 0.585
Te9 0.808 0.250 0.711
Te10 0.308 0.250 0.789
Te11 0.035 0.750 0.915
Te12 0.614 0.250 0.939
Y1 0.730 0.750 0.037
Y2 0.230 0.750 0.463
Y3 0.770 0.250 0.537
Y4 0.270 0.250 0.963

Results
- Magnetic moment: 0.00 Bohr magnetons per cell

## C
Here is a relaxed structure of YAgSnTe3 from the Open Quantum Materials Database. Energies are from PBE-GGA.

Lattice parameters (Å, degrees): 12.502 4.500 12.614 90.00 90.00 90.00
Element x y z (fractional)
Ag1 0.736 0.750 0.202
Ag2 0.236 0.750 0.298
Ag3 0.764 0.250 0.702
Ag4 0.264 0.250 0.798
Sn1 0.684 0.250 0.011
Sn2 0.184 0.250 0.489
Sn3 0.816 0.750 0.511
Sn4 0.316 0.750 0.989
Te1 0.908 0.750 0.062
Te2 0.526 0.750 0.131
Te3 0.279 0.250 0.171
Te4 0.779 0.250 0.329
Te5 0.026 0.750 0.369
Te6 0.408 0.750 0.438
Te7 0.592 0.250 0.562
Te8 0.974 0.250 0.631
Te9 0.221 0.750 0.671
Te10 0.721 0.750 0.829
Te11 0.474 0.250 0.869
Te12 0.092 0.250 0.938
Y1 0.023 0.250 0.189
Y2 0.523 0.250 0.311
Y3 0.477 0.750 0.689
Y4 0.977 0.750 0.811

Results
- Magnetic moment: 0.02 Bohr magnetons per cell

On energetic grounds, A is preferred over the next structure by 34 meV per atom.

## A
Here is a relaxed structure of YAgSnTe3 from the Open Quantum Materials Database. Energies are from PBE-GGA.

Lattice parameters (Å, degrees): 4.498 12.444 12.580 90.00 90.00 90.00
Element x y z (fractional)
Ag1 0.750 0.764 0.206
Ag2 0.750 0.264 0.294
Ag3 0.250 0.736 0.706
Ag4 0.250 0.236 0.794
Sn1 0.250 0.810 0.019
Sn2 0.250 0.310 0.481
Sn3 0.750 0.690 0.519
Sn4 0.750 0.190 0.981
Te1 0.750 0.592 0.062
Te2 0.750 0.973 0.131
Te3 0.250 0.217 0.169
Te4 0.250 0.717 0.331
Te5 0.750 0.473 0.369
Te6 0.750 0.092 0.438
Te7 0.250 0.908 0.562
Te8 0.250 0.527 0.631
Te9 0.750 0.283 0.669
Te10 0.750 0.783 0.831
Te11 0.250 0.027 0.869
Te12 0.250 0.408 0.938
Y1 0.250 0.475 0.190
Y2 0.250 0.975 0.310
Y3 0.750 0.025 0.690
Y4 0.750 0.525 0.810

Results
- Magnetic moment: 0.02 Bohr magnetons per cell

## B
Here is a relaxed structure of YAgSnTe3 from the Open Quantum Materials Database. Energies are from PBE-GGA.

Lattice parameters (Å, degrees): 14.487 4.320 11.597 90.00 90.00 90.00
Element x y z (fractional)
Ag1 0.007 0.750 0.088
Ag2 0.507 0.750 0.412
Ag3 0.493 0.250 0.588
Ag4 0.993 0.250 0.912
Sn1 0.219 0.250 0.054
Sn2 0.719 0.250 0.446
Sn3 0.281 0.750 0.554
Sn4 0.781 0.750 0.946
Te1 0.387 0.750 0.059
Te2 0.875 0.250 0.120
Te3 0.651 0.750 0.247
Te4 0.151 0.750 0.253
Te5 0.375 0.250 0.380
Te6 0.887 0.750 0.441
Te7 0.113 0.250 0.559
Te8 0.625 0.750 0.620
Te9 0.849 0.250 0.747
Te10 0.349 0.250 0.753
Te11 0.125 0.750 0.880
Te12 0.613 0.250 0.941
Y1 0.509 0.250 0.176
Y2 0.009 0.250 0.324
Y3 0.991 0.750 0.676
Y4 0.491 0.750 0.824

Results
- Magnetic moment: 0.02 Bohr magnetons per cell

On energetic grounds, B is preferred over the next structure by 61 meV per atom.

## A
Here is a relaxed structure of TaTcAg from the Open Quantum Materials Database. Energies are from PBE-GGA.

Lattice parameters (Å, degrees): 4.374 4.374 4.374 60.00 60.00 60.00
Site moments in Bohr magnetons follow the coordinates.
Element x y z (fractional)
Ag1 0.500 0.500 0.500  0.05
Ta1 0.000 0.000 0.000  0.01
Tc1 0.250 0.250 0.250  0.40

Results
- Magnetic moment: 0.52 Bohr magnetons per cell

## B
Here is a relaxed structure of TaTcAg from the Open Quantum Materials Database. Energies are from PBE-GGA.

Lattice parameters (Å, degrees): 4.358 4.358 4.358 60.00 60.00 60.00
Element x y z (fractional)
Ag1 0.750 0.750 0.750
Ta1 0.000 0.000 0.000
Tc1 0.250 0.250 0.250

Results
- Magnetic moment: 0.00 Bohr magnetons per cell

On energetic grounds, B is preferred over the next structure by 18 meV per atom.

## A
Here is a relaxed structure of TaAgTe from the Open Quantum Materials Database. Energies are from PBE-GGA.

Lattice parameters (Å, degrees): 4.598 4.598 4.598 60.00 60.00 60.00
Element x y z (fractional)
Ag1 0.250 0.250 0.250
Ta1 0.750 0.750 0.750
Te1 0.000 0.000 0.000

Results
- Magnetic moment: 0.02 Bohr magnetons per cell

## B
Here is a relaxed structure of TaAgTe from the Open Quantum Materials Database. Energies are from PBE-GGA.

Lattice parameters (Å, degrees): 4.644 4.644 4.644 60.00 60.00 60.00
Element x y z (fractional)
Ag1 0.250 0.250 0.250
Ta1 0.000 0.000 0.000
Te1 0.750 0.750 0.750

Results
- Magnetic moment: 1.66 Bohr magnetons per cell

On energetic grounds, B is preferred over the next structure by 215 meV per atom.

## A
Here is a relaxed structure of TaAgW from the Open Quantum Materials Database. Energies are from PBE-GGA.

Lattice parameters (Å, degrees): 4.896 4.896 2.664 90.00 90.00 120.00
Element x y z (fractional)
Ag1 0.000 0.000 0.000
Ta1 0.333 0.667 0.000
W1 0.667 0.333 0.000

Results
- Magnetic moment: 0.00 Bohr magnetons per cell

## B
Here is a relaxed structure of TaAgW from the Open Quantum Materials Database. Energies are from PBE-GGA.

Lattice parameters (Å, degrees): 4.443 4.443 4.443 60.00 60.00 60.00
Element x y z (fractional)
Ag1 0.250 0.250 0.250
Ta1 0.750 0.750 0.750
W1 0.000 0.000 0.000

Results
- Magnetic moment: 0.00 Bohr magnetons per cell

On energetic grounds, A is preferred over the next structure by 366 meV per atom.

## A
Here is a relaxed structure of Ag15Te from the Open Quantum Materials Database. Energies are from PBE-GGA.

Lattice parameters (Å, degrees): 5.800 4.164 31.921 90.00 90.00 90.00
Element x y z (fractional)
Ag1 0.625 0.250 0.023
Ag2 0.126 0.250 0.023
Ag3 0.876 0.750 0.068
Ag4 0.376 0.750 0.069
Ag5 0.626 0.250 0.114
Ag6 0.126 0.250 0.114
Ag7 0.875 0.750 0.159
Ag8 0.376 0.750 0.160
Ag9 0.123 0.250 0.205
Ag10 0.625 0.250 0.205
Ag11 0.372 0.750 0.250
Ag12 0.872 0.750 0.251
Ag13 0.621 0.250 0.297
Ag14 0.119 0.250 0.298
Ag15 0.868 0.750 0.342
Ag16 0.132 0.250 0.658
Ag17 0.881 0.750 0.702
Ag18 0.379 0.750 0.703
Ag19 0.128 0.250 0.749
Ag20 0.628 0.250 0.750
Ag21 0.375 0.750 0.795
Ag22 0.877 0.750 0.795
Ag23 0.624 0.250 0.840
Ag24 0.125 0.250 0.841
Ag25 0.874 0.750 0.886
Ag26 0.374 0.750 0.886
Ag27 0.624 0.250 0.931
Ag28 0.124 0.250 0.932
Ag29 0.874 0.750 0.977
Ag30 0.375 0.750 0.977
Te1 0.368 0.750 0.346
Te2 0.632 0.250 0.654

## B
Here is a relaxed structure of Ag15Te from the Open Quantum Materials Database. Energies are from PBE-GGA.

Lattice parameters (Å, degrees): 5.790 2.922 45.150 90.00 90.07 90.00
Element x y z (fractional)
Ag1 0.376 0.000 0.157
Ag2 0.122 0.500 0.202
Ag3 0.628 0.500 0.202
Ag4 0.375 0.000 0.248
Ag5 0.875 0.000 0.249
Ag6 0.126 0.500 0.295
Ag7 0.624 0.500 0.295
Ag8 0.875 0.000 0.340
Ag9 0.375 0.000 0.341
Ag10 0.625 0.500 0.386
Ag11 0.124 0.500 0.386
Ag12 0.875 0.000 0.432
Ag13 0.375 0.000 0.432
Ag14 0.125 0.500 0.477
Ag15 0.625 0.500 0.477
Ag16 0.375 0.000 0.523
Ag17 0.875 0.000 0.523
Ag18 0.625 0.500 0.568
Ag19 0.125 0.500 0.568
Ag20 0.876 0.000 0.614
Ag21 0.375 0.000 0.614
Ag22 0.625 0.500 0.659
Ag23 0.125 0.500 0.660
Ag24 0.376 0.000 0.705
Ag25 0.874 0.000 0.705
Ag26 0.125 0.500 0.751
Ag27 0.625 0.500 0.752
Ag28 0.372 0.000 0.798
Ag29 0.878 0.000 0.798
Ag30 0.624 0.500 0.843
Te1 0.877 0.000 0.145
Te2 0.123 0.500 0.855

## C
Here is a relaxed structure of Ag15Te from the Open Quantum Materials Database. Energies are from PBE-GGA.

Lattice parameters (Å, degrees): 4.113 4.126 45.530 90.00 90.00 90.00
Element x y z (fractional)
Ag1 0.500 0.500 0.159
Ag2 0.000 0.500 0.206
Ag3 0.500 0.000 0.206
Ag4 0.500 0.500 0.252
Ag5 0.000 0.000 0.252
Ag6 0.500 0.000 0.298
Ag7 0.000 0.500 0.298
Ag8 0.500 0.500 0.344
Ag9 0.000 0.000 0.344
Ag10 0.500 0.000 0.388
Ag11 0.000 0.500 0.389
Ag12 0.500 0.500 0.433
Ag13 0.000 0.000 0.433
Ag14 0.500 0.000 0.478
Ag15 0.000 0.500 0.478
Ag16 0.500 0.500 0.522
Ag17 0.000 0.000 0.522
Ag18 0.500 0.000 0.567
Ag19 0.000 0.500 0.567
Ag20 0.500 0.500 0.611
Ag21 0.000 0.000 0.612
Ag22 0.500 0.000 0.656
Ag23 0.000 0.500 0.656
Ag24 0.500 0.500 0.702
Ag25 0.000 0.000 0.702
Ag26 0.500 0.000 0.748
Ag27 0.000 0.500 0.748
Ag28 0.000 0.000 0.794
Ag29 0.500 0.500 0.794
Ag30 0.000 0.500 0.841
Te1 0.000 0.000 0.154
Te2 0.500 0.000 0.846

On energetic grounds, C is preferred over the next structure by 15 meV per atom.